[1]
VASP calculation (PBE) on Ba2VTc after structural relaxation.

Unit cell a=12.2345 b=12.2345 c=8.9498 alpha=46.88 beta=46.88 gamma=90.00
Fractional positions:
Ba1 0.8750 0.0631 0.7500
Ba2 0.9369 0.6250 0.2500
Tc1 0.7500 0.2500 0.5000
Ba3 0.3750 0.1869 0.7500
Tc2 0.0000 0.0000 0.0000
V1 0.2500 0.7500 0.5000
V2 0.5000 0.5000 0.0000
Ba4 0.8131 0.1250 0.2500

Results
Total energy: -19.962 eV/f.u.
Crystal system: tetragonal
DOS at the Fermi energy: 5.408 states/eV/f.u.
Distance to the lowest polymorph of the same formula: 0.000 eV per atom
Symmetry: I-42d, No. 122

---

[2]
VASP calculation (PBE) on BaVZn2Tc after structural relaxation.

Unit cell a=4.9648 b=5.3699 c=4.9648 alpha=90.00 beta=90.00 gamma=90.00
Fractional positions:
Zn1 0.5000 0.0000 0.0000
Ba1 0.0000 0.5000 0.0000
Tc1 0.0000 0.0000 0.0000
Zn2 0.0000 0.0000 0.5000
V1 0.5000 0.5000 0.5000

Results
Total energy: -17.137 eV/f.u.
Crystal system: tetragonal
DOS at the Fermi energy: 7.922 states/eV/f.u.
Symmetry: P4/mmm, No. 123

---

[3]
VASP calculation (PBE) on BaTcW2 after structural relaxation.

Unit cell a=5.0930 b=5.0930 c=6.3130 alpha=76.31 beta=76.31 gamma=38.04
Fractional positions:
Ba1 0.7500 0.7500 0.7500
W1 0.9578 0.9578 0.1300
W2 0.5422 0.5422 0.3700
Tc1 0.2500 0.2500 0.2500

Results
Total energy: -34.438 eV/f.u.
Crystal system: monoclinic
DOS at the Fermi energy: 5.016 states/eV/f.u.
Distance to the lowest polymorph of the same formula: 0.171 eV per atom
Symmetry: C2/m, No. 12

---

[4]
VASP calculation (PBE) on BaTcW2 after structural relaxation.

Unit cell a=5.4765 b=5.7360 c=2.8850 alpha=81.68 beta=77.08 gamma=114.91
Fractional positions:
W1 0.0000 0.0000 0.0000
Ba1 0.0000 0.5000 0.5000
Tc1 0.5000 0.5000 0.0000
W2 0.5000 0.0000 0.5000

Results
Total energy: -32.421 eV/f.u.
Crystal system: monoclinic
DOS at the Fermi energy: 4.287 states/eV/f.u.
Distance to the lowest polymorph of the same formula: 0.675 eV per atom
Symmetry: C2/m, No. 12

---

[5]
VASP calculation (PBE) on BaTcW2 after structural relaxation.

Unit cell a=3.2054 b=3.2054 c=8.2826 alpha=90.00 beta=90.00 gamma=90.00
Fractional positions:
W1 0.5000 0.5000 0.1747
Tc1 0.5000 0.5000 0.8268
W2 0.0000 0.0000 0.9931
Ba1 0.0000 0.0000 0.5054

Results
Total energy: -35.122 eV/f.u.
Crystal system: tetragonal
DOS at the Fermi energy: 6.216 states/eV/f.u.
Distance to the lowest polymorph of the same formula: 0.000 eV per atom
Symmetry: P4mm, No. 99

---

[6]
VASP calculation (PBE) on BaTcW2 after structural relaxation.

Unit cell a=4.7401 b=4.7401 c=4.7401 alpha=60.00 beta=60.00 gamma=60.00
Fractional positions:
Tc1 0.0000 0.0000 0.0000
W1 0.2500 0.2500 0.2500
Ba1 0.5000 0.5000 0.5000
W2 0.7500 0.7500 0.7500

Results
Total energy: -32.315 eV/f.u.
Crystal system: cubic
DOS at the Fermi energy: 4.496 states/eV/f.u.
Distance to the lowest polymorph of the same formula: 0.702 eV per atom
Symmetry: Fm-3m, No. 225